(1)
# PBE Pm2CuSi3Ni12, optimized geometry
data_Pm2CuSi3Ni12
_cell_length_a 8.4715
_cell_length_b 8.4715
_cell_length_c 11.8688
_cell_angle_alpha 90.00
_cell_angle_beta 90.00
_cell_angle_gamma 120.00
_space_group_name_H-M_alt 'R -3 m'
_space_group_IT_number 166
_space_group_name_Hall '-R 3 2"'
loop_
_atom_site_label
_atom_site_type_symbol
_atom_site_fract_x
_atom_site_fract_y
_atom_site_fract_z
_atom_site_occupancy
Pm1 Pm 0.0000 0.0000 0.1528 1
Cu1 Cu 0.0000 0.0000 0.5000 1
Si1 Si 0.0000 0.5000 0.0000 1
Ni1 Ni 0.0124 0.5062 0.3896 1
Ni2 Ni 0.0135 0.5068 0.1920 1
# ΔE_f (raw) (eV/atom): -0.086

(2)
# PBE PmSmCuNi, optimized geometry
data_PmSmCuNi
_cell_length_a 4.452
_cell_length_b 3.809
_cell_length_c 10.525
_cell_angle_alpha 90.00
_cell_angle_beta 90.00
_cell_angle_gamma 90.00
_space_group_name_H-M_alt 'A m m 2'
_space_group_IT_number 38
loop_
_space_group_symop_operation_xyz
'x,y,z'
'-x,-y,z'
'-x,y,z'
'x,-y,z'
'x,y+1/2,z+1/2'
'-x,-y+1/2,z+1/2'
'-x,y+1/2,z+1/2'
'x,-y+1/2,z+1/2'
loop_
_atom_site_label
_atom_site_type_symbol
_atom_site_fract_x
_atom_site_fract_y
_atom_site_fract_z
_atom_site_occupancy
Pm1 Pm 0.000 0.000 0.000 1
Sm1 Sm 0.500 0.000 0.723 1
Cu1 Cu 0.500 0.000 0.430 1
Ni1 Ni 0.000 0.000 0.293 1
# Formation energy from the elements (eV/atom): -0.277

(3)
# PBE PmCuNiSn2, optimized geometry
data_PmCuNiSn2
_cell_length_a 4.420
_cell_length_b 4.420
_cell_length_c 10.711
_cell_angle_alpha 90.00
_cell_angle_beta 90.00
_cell_angle_gamma 90.00
_space_group_name_H-M_alt 'I -4 m 2'
_space_group_IT_number 119
_space_group_name_Hall 'I -4 -2'
loop_
_atom_site_label
_atom_site_type_symbol
_atom_site_fract_x
_atom_site_fract_y
_atom_site_fract_z
_atom_site_occupancy
Pm1 Pm 0.000 0.000 0.000 1
Cu1 Cu 0.000 0.500 0.750 1
Ni1 Ni 0.000 0.500 0.250 1
Sn1 Sn 0.000 0.000 0.368 1
# Formation energy from the elements (eV/atom): -0.419

(4)
# PBE Pm2CuNi3Sn4, optimized geometry
data_Pm2CuNi3Sn4
_cell_length_a 4.441
_cell_length_b 4.441
_cell_length_c 10.267
_cell_angle_alpha 90.00
_cell_angle_beta 90.00
_cell_angle_gamma 90.00
_space_group_name_H-M_alt 'P -4 m 2'
_space_group_IT_number 115
loop_
_space_group_symop_operation_xyz
'x,y,z'
'y,-x,-z'
'-x,-y,z'
'-y,x,-z'
'-x,y,z'
'-y,-x,-z'
'x,-y,z'
'y,x,-z'
loop_
_atom_site_label
_atom_site_type_symbol
_atom_site_fract_x
_atom_site_fract_y
_atom_site_fract_z
_atom_site_occupancy
Pm1 Pm 0.000 0.500 0.241 1
Cu1 Cu 0.500 0.500 0.000 1
Ni1 Ni 0.000 0.000 0.000 1
Ni2 Ni 0.000 0.500 0.626 1
Sn1 Sn 0.000 0.000 0.500 1
Sn2 Sn 0.000 0.500 0.869 1
Sn3 Sn 0.500 0.500 0.500 1
# Formation energy from the elements (eV/atom): -0.508

Number 1: DOS at the Fermi energy 37.06 states/eV per cell, M_tot 0.0000 μB per atom. Number 2: DOS at the Fermi energy 7.08 states/eV per cell, M_tot 0.0000 μB per atom. Number 3: DOS at the Fermi energy 5.89 states/eV per cell, M_tot 0.0000 μB per atom. Number 4: DOS at the Fermi energy 4.86 states/eV per cell, M_tot 0.0000 μB per atom.